Computed, not measured: crystalline KLaP2 at its relaxed geometry at the PBE-GGA level of DFT.

The excess energy over the best structure of this formula in the dataset is 0.0000 eV/atom. As for the formation energy: -3.5 eV per formula unit. The calculation puts the final energy at -40.63 eV per cell.

The structure belongs to space group Cm (No. 8); the cell edges are 14.0540, 4.0580 and 4.0296 Å and the angles 90.00°, 90.20° and 90.00°. Symmetry generates all atoms from K at (0.0000, 0.0000, 0.0000), La at (0.2422, 0.0000, 0.9971), P at (0.1550, 0.5000, 0.4964) and P at (0.3150, 0.5000, 0.4981).

Computed, not measured: crystalline YNb at its relaxed geometry at the PBE-GGA level of DFT.

The excess energy over the best structure of this formula in the dataset is 0.5096 eV/atom. As for the formation energy: 1.3 eV per formula unit. The calculation puts the final energy at -91.65 eV per cell.

The structure belongs to space group P6_3/m (No. 176); the cell edges are 10.7493, 10.7493 and 3.0816 Å and the angles 90.00°, 90.00° and 120.00°. Symmetry generates all atoms from Y at (0.0518, 0.3103, 0.2500) and Nb at (0.1633, 0.6238, 0.2500).